DFT (PBE-GGA) results for a geometry-optimized CaCeSnPb structure.

space group = F-43m, No. 216
distance to the lowest polymorph of the same formula = 40.2 meV/atom
magnetic moment = 0.98 μB per formula unit

Cell lengths 5.512, 5.512, 5.512 Å; angles 60.00, 60.00, 60.00 degrees
Atoms (fractional coordinates):
1 Pb 0.750 0.750 0.750
2 Ca 0.500 0.500 0.500
3 Sn 0.250 0.250 0.250
4 Ce 0.000 0.000 0.000


DFT (PBE-GGA) results for a geometry-optimized SrCa2CePb4 structure.

VASP energy = -3.768 eV per atom
space group = R-3m, No. 166
magnetic moment = 1.01 μB per formula unit

Cell lengths 5.643, 5.643, 9.787 Å; angles 73.25, 73.25, 60.00 degrees
Atoms (fractional coordinates):
1 Sr 0.000 0.000 0.000
2 Ca 0.748 0.748 0.756
3 Ca 0.252 0.252 0.244
4 Ce 0.500 0.500 0.500
5 Pb 0.377 0.377 0.868
6 Pb 0.873 0.873 0.382
7 Pb 0.127 0.127 0.618
8 Pb 0.623 0.623 0.132


DFT (PBE-GGA) results for a geometry-optimized CaCeZnPb structure.

VASP energy = -3.559 eV per atom
space group = F-43m, No. 216
magnetic moment = 1.28 μB per formula unit

Cell lengths 5.392, 5.392, 5.392 Å; angles 60.00, 60.00, 60.00 degrees
Atoms (fractional coordinates):
1 Pb 0.500 0.500 0.500
2 Zn 0.000 0.000 0.000
3 Ca 0.250 0.250 0.250
4 Ce 0.750 0.750 0.750


DFT (PBE-GGA) results for a geometry-optimized CaCePd2 structure.

space group = Fm-3m, No. 225
distance to the lowest polymorph of the same formula = 34.5 meV/atom
magnetic moment = 0.94 μB per formula unit

Cell lengths 5.034, 5.034, 5.034 Å; angles 60.00, 60.00, 60.00 degrees
Atoms (fractional coordinates):
1 Ca 0.500 0.500 0.500
2 Pd 0.250 0.250 0.250
3 Pd 0.750 0.750 0.750
4 Ce 0.000 0.000 0.000


DFT (PBE-GGA) results for a geometry-optimized Ca2CePd structure.

VASP energy = -3.802 eV per atom
space group = R-3m, No. 166
magnetic moment = 1.48 μB per formula unit

Cell lengths 3.645, 3.645, 11.146 Å; angles 80.59, 80.59, 60.00 degrees
Atoms (fractional coordinates):
1 Ca 0.108 0.108 0.676
2 Ca 0.892 0.892 0.324
3 Pd 0.500 0.500 0.500
4 Ce 0.000 0.000 0.000


DFT (PBE-GGA) results for a geometry-optimized Ca2CePd3 structure.

VASP energy = -4.920 eV per atom
space group = P-3m1, No. 164
magnetic moment = 0.90 μB per formula unit

Cell lengths 5.045, 5.045, 6.098 Å; angles 90.00, 90.00, 120.00 degrees
Atoms (fractional coordinates):
1 Ca 0.667 0.333 0.349
2 Ca 0.333 0.667 0.651
3 Ce 0.000 0.000 0.000
4 Pd 0.000 0.000 0.500
5 Pd 0.667 0.333 0.859
6 Pd 0.333 0.667 0.141


DFT (PBE-GGA) results for a geometry-optimized CaCePd2 structure.

space group = P4/mmm, No. 123
distance to the lowest polymorph of the same formula = 0.0 meV/atom
magnetic moment = 0.87 μB per formula unit

Cell lengths 3.549, 3.549, 7.224 Å; angles 90.00, 90.00, 90.00 degrees
Atoms (fractional coordinates):
1 Ca 0.500 0.500 0.500
2 Pd 0.000 0.000 0.767
3 Pd 0.000 0.000 0.233
4 Ce 0.500 0.500 0.000


DFT (PBE-GGA) results for a geometry-optimized Ca2CePd9 structure.

VASP energy = -5.353 eV per atom
space group = P4/mmm, No. 123
magnetic moment = 0.00 μB per formula unit

Cell lengths 4.150, 4.150, 12.362 Å; angles 90.00, 90.00, 90.00 degrees
Atoms (fractional coordinates):
1 Ca 0.000 0.000 0.335
2 Ca 0.000 0.000 0.665
3 Ce 0.000 0.000 0.000
4 Pd 0.500 0.500 0.000
5 Pd 0.500 0.500 0.332
6 Pd 0.500 0.500 0.668
7 Pd 0.500 0.000 0.162
8 Pd 0.500 0.000 0.500
9 Pd 0.500 0.000 0.838
10 Pd 0.000 0.500 0.162
11 Pd 0.000 0.500 0.500
12 Pd 0.000 0.500 0.838